# 1
This record from Alexandria via LeMat-Bulk describes a geometry-optimized RbHfMo2N structure. The functional is PBE-GGA.

Results
**Formation energy without anion corrections**: 2.725 eV per atom
**Energy**: -5.457 eV per atom
**Mass density**: 4.45 g/cm³

Cell and atoms, written as CIF:
```
data_RbHfMo2N
_symmetry_space_group_name_H-M 'P 1'
_symmetry_Int_Tables_number 1
_symmetry_space_group_name_Hall 'P 1'
_cell_length_a 4.824
_cell_length_b 4.824
_cell_length_c 7.531
_cell_angle_alpha 90.00
_cell_angle_beta 90.00
_cell_angle_gamma 90.00
loop_
_atom_site_label
_atom_site_type_symbol
_atom_site_fract_x
_atom_site_fract_y
_atom_site_fract_z
Rb1 Rb 0.000 0.000 0.000
Hf1 Hf 0.000 0.000 0.500
Mo1 Mo 0.000 0.500 0.500
Mo2 Mo 0.500 0.000 0.500
N1 N 0.500 0.500 0.000
```



# 2
This record from Alexandria via LeMat-Bulk describes a geometry-optimized ScAgTe2 structure. The functional is PBE-GGA.

Results
**Formation energy without anion corrections**: -0.114 eV per atom
**Energy**: -3.980 eV per atom
**Mass density**: 6.87 g/cm³

Cell and atoms, written as CIF:
```
data_ScAgTe2
_symmetry_space_group_name_H-M 'P 1'
_symmetry_Int_Tables_number 1
_symmetry_space_group_name_Hall 'P 1'
_cell_length_a 5.186
_cell_length_b 5.186
_cell_length_c 5.186
_cell_angle_alpha 60.00
_cell_angle_beta 60.00
_cell_angle_gamma 60.00
loop_
_atom_site_label
_atom_site_type_symbol
_atom_site_fract_x
_atom_site_fract_y
_atom_site_fract_z
Sc1 Sc 0.000 0.000 0.000
Ag1 Ag 0.250 0.250 0.250
Te1 Te 0.500 0.500 0.500
Te2 Te 0.750 0.750 0.750
```



# 3
This record from Alexandria via LeMat-Bulk describes a geometry-optimized CsLaTi3 structure. The functional is PBE-GGA.

Results
**Energy above the most stable polymorph in this dataset**: 0.000 eV per atom
**Energy**: -4.334 eV per atom
**Mass density**: 4.80 g/cm³
**Energy of formation from the pure elements**: 1558.8 meV/atom

Cell and atoms, written as CIF:
```
data_CsLaTi3
_symmetry_space_group_name_H-M 'P 1'
_symmetry_Int_Tables_number 1
_symmetry_space_group_name_Hall 'P 1'
_cell_length_a 5.237
_cell_length_b 5.237
_cell_length_c 5.237
_cell_angle_alpha 90.00
_cell_angle_beta 90.00
_cell_angle_gamma 90.00
loop_
_atom_site_label
_atom_site_type_symbol
_atom_site_fract_x
_atom_site_fract_y
_atom_site_fract_z
Cs1 Cs 0.000 0.000 0.000
La1 La 0.500 0.500 0.500
Ti1 Ti 0.000 0.500 0.500
Ti2 Ti 0.500 0.000 0.500
Ti3 Ti 0.500 0.500 0.000
```



- The lowest energy belongs to which entry?
  RbHfMo2N